(1)
Computed, not measured: an optimized crystal structure of CoSnIr at the GGA-PBE level of DFT.

Output
- energy (eV per atom) = -6.356
- density of states at the Fermi level (states/eV per atom) = 1.010

Cell: 3.0197 3.0197 12.0757 Å, 90.00 90.00 120.00°
Space group P-6m2 (No. 187)
Symmetry-distinct sites (fractional):
Co 0.0000 0.0000 0.0000
Co 0.3333 0.6667 0.5000
Sn 0.0000 0.0000 0.3383
Ir 0.3333 0.6667 0.1604

=====

(2)
Computed, not measured: an optimized crystal structure of CaNd2Ag9 at the GGA-PBE level of DFT.

Output
- energy (eV per atom) = -3.272
- density of states at the Fermi level (states/eV per atom) = 0.668

Cell: 5.7137 5.7137 28.1154 Å, 90.00 90.00 120.00°
Space group R-3m (No. 166, hexagonal axes)
Symmetry-distinct sites (fractional):
Ca 0.0000 0.0000 0.0000
Nd 0.0000 0.0000 0.1423
Ag 0.0000 0.0000 0.3332
Ag 0.0000 0.0000 0.5000
Ag 0.0026 0.5013 0.9162

=====

(3)
Computed, not measured: an optimized crystal structure of In4NiBr2 at the GGA-PBE level of DFT.

Output
- E_form (uncorrected) (eV per atom) = -0.3220
- density of states at the Fermi level (states/eV per atom) = 0.185

Cell: 5.018 5.018 16.938 Å, 90.00 90.00 90.00°
Space group I4/mmm (No. 139)
Symmetry-distinct sites (fractional):
In 0.000 0.000 0.153
In 0.000 0.500 0.000
Ni 0.000 0.000 0.000
Br 0.000 0.000 0.340

=====

(4)
Computed, not measured: an optimized crystal structure of Sc2Cd2Ga at the GGA-PBE level of DFT.

Output
- energy relative to the lowest polymorph listed for this composition (meV/atom) = 205.7
- density of states at the Fermi level (states/eV per atom) = 0.689

Cell: 7.655 7.655 3.934 Å, 90.00 90.00 90.00°
Space group P4/mbm (No. 127)
Symmetry-distinct sites (fractional):
Sc 0.157 0.343 0.000
Cd 0.144 0.644 0.500
Ga 0.000 0.000 0.000

=====

(5)
Computed, not measured: an optimized crystal structure of AgMo2Pb at the GGA-PBE level of DFT.

Output
- energy (eV per atom) = -6.370
- density of states at the Fermi level (states/eV per atom) = 0.843

Cell: 4.208 4.208 8.158 Å, 90.00 90.00 90.00°
Space group I-4m2 (No. 119)
Symmetry-distinct sites (fractional):
Ag 0.000 0.000 0.000
Mo 0.000 0.000 0.500
Mo 0.000 0.500 0.750
Pb 0.000 0.500 0.250

=====

(6)
Computed, not measured: an optimized crystal structure of CsMgTl4 at the GGA-PBE level of DFT.

Output
- energy relative to the lowest polymorph listed for this composition (meV/atom) = 0.0
- density of states at the Fermi level (states/eV per atom) = 0.456

Cell: 4.010 4.010 12.383 Å, 90.00 90.00 90.00°
Space group P4/mmm (No. 123)
Symmetry-distinct sites (fractional):
Cs 0.000 0.000 0.000
Mg 0.500 0.500 0.500
Tl 0.000 0.000 0.366
Tl 0.500 0.500 0.225

=====

(7)
Computed, not measured: an optimized crystal structure of HoTh2MnN5 at the GGA-PBE level of DFT.

Output
- E_form (uncorrected) (eV per atom) = -0.9700
- density of states at the Fermi level (states/eV per atom) = 0.580

Cell: 6.708 6.708 5.699 Å, 90.00 90.00 90.00°
Space group P4/mbm (No. 127)
Symmetry-distinct sites (fractional):
Ho 0.000 0.000 0.000
Th 0.170 0.330 0.500
Mn 0.000 0.500 0.000
N 0.000 0.000 0.500
N 0.142 0.642 0.225

=====

(8)
Computed, not measured: an optimized crystal structure of CaTc2Mo at the GGA-PBE level of DFT.

Output
- energy relative to the lowest polymorph listed for this composition (meV/atom) = 217.4
- density of states at the Fermi level (states/eV per atom) = 1.047

Cell: 2.747 4.556 5.520 Å, 90.00 99.72 90.00°
Space group Pm (No. 6)
Symmetry-distinct sites (fractional):
Ca 0.000 0.000 0.000
Tc 0.264 0.500 0.739
Tc 0.512 0.000 0.502
Mo 0.746 0.500 0.285

=====

(9)
Computed, not measured: an optimized crystal structure of AcDy2In2Ag2 at the GGA-PBE level of DFT.

Output
- energy (eV per atom) = -3.815
- density of states at the Fermi level (states/eV per atom) = 0.611

Cell: 4.9282 4.9282 27.8501 Å, 90.00 90.00 120.00°
Space group R-3m (No. 166, hexagonal axes)
Symmetry-distinct sites (fractional):
Ac 0.0000 0.0000 0.0000
Dy 0.0000 0.0000 0.1303
In 0.0000 0.0000 0.2528
Ag 0.0000 0.0000 0.4192

=====

(10)
Computed, not measured: an optimized crystal structure of BaHfFeB2 at the GGA-PBE level of DFT.

Output
- energy (eV per atom) = -4.157
- density of states at the Fermi level (states/eV per atom) = 1.129

Cell: 4.595 4.595 4.854 Å, 90.00 90.00 90.00°
Space group P4/mmm (No. 123)
Symmetry-distinct sites (fractional):
Ba 0.000 0.000 0.000
Hf 0.500 0.500 0.500
Fe 0.000 0.000 0.500
B 0.000 0.500 0.000

=====

(11)
Computed, not measured: an optimized crystal structure of Pr7Er2Mg at the GGA-PBE level of DFT.

Output
- energy (eV per atom) = -3.840
- density of states at the Fermi level (states/eV per atom) = 1.429

Cell: 9.012 16.002 5.726 Å, 90.00 90.00 90.00°
Space group Cmmm (No. 65)
Symmetry-distinct sites (fractional):
Pr 0.000 0.000 0.000
Pr 0.000 0.271 0.500
Pr 0.180 0.388 0.000
Er 0.000 0.207 0.000
Mg 0.000 0.500 0.500

=====

(12)
Computed, not measured: an optimized crystal structure of SiHgCl4 at the GGA-PBE level of DFT.

Output
- energy relative to the lowest polymorph listed for this composition (meV/atom) = 0.0
- E_form (uncorrected) (eV per atom) = -1.0138
- density of states at the Fermi level (states/eV per atom) = 0.000

Cell: 10.434 6.968 7.804 Å, 90.00 90.00 90.00°
Space group Pmn2_1 (No. 31)
Symmetry-distinct sites (fractional):
Si 0.000 0.244 0.000
Hg 0.000 0.796 0.407
Cl 0.000 0.423 0.793
Cl 0.000 0.968 0.916
Cl 0.159 0.293 0.144